1.
Material: K2ZrBr
Method: DFT, PBE-GGA
State: relaxed

## Properties
E_tot	-2.653	eV per atom
ΔE_f (raw)	0.45	eV per atom
spin magnetization	3.00	μB/cell
crystal system	cubic
V	43.28	A^3/atom
DOS at the Fermi energy	0.00	states/eV/f.u.

abc: 6.2557 6.2557 6.2557
angles: 60.00 60.00 60.00
Last column: nearest neighbours and their distance in Å.
Atoms (fractional coordinates):
Br 0.0000 0.0000 0.0000  8 K 3.83
K 0.7500 0.7500 0.7500  4 Zr 3.83, 4 Br 3.83
K 0.2500 0.2500 0.2500  4 Zr 3.83, 4 Br 3.83
Zr 0.5000 0.5000 0.5000  8 K 3.83


2.
Material: Zn3Cu2Ni7
Method: DFT, PBE-GGA
State: relaxed

## Properties
E_tot	-4.344	eV per atom
spin magnetization	1.27	μB/cell
crystal system	monoclinic
V	12.10	A^3/atom
ΔE_f	0.030	eV per atom
DOS at the Fermi energy	13.42	states/eV/f.u.

abc: 2.5565 4.1217 13.7968
angles: 92.98 90.00 90.00
Last column: nearest neighbours and their distance in Å.
Atoms (fractional coordinates):
Ni 0.5000 0.8330 0.8348  8 Ni 2.44-2.67, 1 Cu 2.63, 1 Zn 2.72
Ni 0.5000 0.1670 0.1652  8 Ni 2.44-2.67, 1 Cu 2.63, 1 Zn 2.72
Ni 0.0000 0.6626 0.1436  2 Cu 2.39, 2 Zn 2.42, 7 Ni 2.44-2.56
Ni 0.5000 0.2578 0.5400  4 Ni 2.33-2.56, 1 Cu 2.34
Ni 0.5000 0.7422 0.4600  4 Ni 2.33-2.56, 1 Cu 2.34
Ni 0.0000 0.0000 0.0000  4 Zn 2.43, 8 Ni 2.48-2.67
Ni 0.0000 0.3374 0.8564  2 Cu 2.39, 2 Zn 2.42, 7 Ni 2.44-2.56
Zn 0.0000 0.2233 0.3729  2 Zn 2.56, 6 Ni 2.63-2.72, 4 Cu 2.67-2.69
Zn 0.5000 0.5000 0.0000  8 Ni 2.42-2.43, 2 Zn 2.56
Zn 0.0000 0.7767 0.6271  2 Zn 2.56, 6 Ni 2.63-2.72, 4 Cu 2.67-2.69
Cu 0.5000 0.2942 0.7099  3 Ni 2.34-2.39, 2 Cu 2.56
Cu 0.5000 0.7058 0.2901  3 Ni 2.34-2.39, 2 Cu 2.56


3.
Material: ZrHgSb2
Method: DFT, PBE-GGA
State: relaxed

## Properties
E_tot	-4.542	eV per atom
ΔE_f (raw)	-0.27	eV per atom
spin magnetization	0.00	μB/cell
crystal system	orthorhombic
V	27.54	A^3/atom
DOS at the Fermi energy	1.99	states/eV/f.u.

abc: 3.2092 3.2092 10.9172
angles: 90.00 90.00 101.52
Last column: nearest neighbours and their distance in Å.
Atoms (fractional coordinates):
Hg 0.5000 0.5000 0.7500  4 Hg 3.21
Sb 0.0000 0.0000 0.0464  4 Zr 3.01-3.33, 4 Sb 3.21
Sb 0.0000 0.0000 0.4536  4 Zr 3.01-3.33, 4 Sb 3.21
Zr 0.5000 0.5000 0.2500  8 Sb 3.01-3.33, 4 Zr 3.21


4.
Material: DyPuB2O8
Method: DFT, PBE-GGA
State: relaxed

## Properties
E_tot	-8.438	eV per atom
ΔE_f (raw)	-2.44	eV per atom
spin magnetization	1.00	μB/cell
crystal system	tetragonal
V	10.72	A^3/atom
DOS at the Fermi energy	5.95	states/eV/f.u.

abc: 5.5328 5.5328 5.5328
angles: 105.81 105.81 117.06
Last column: nearest neighbours and their distance in Å.
Atoms (fractional coordinates):
B 0.7500 0.2500 0.5000  4 O 1.47
B 0.5000 0.5000 0.0000  4 O 1.49
O 0.3452 0.5242 0.1790  1 B 1.49
O 0.8337 0.6548 0.1790  1 B 1.49
O 0.9130 0.5817 0.6687  1 B 1.47
O 0.7557 0.0870 0.6687  1 B 1.47
O 0.4758 0.6548 0.8210  1 B 1.49
O 0.9130 0.2443 0.3313  1 B 1.47
O 0.3452 0.1663 0.8210  1 B 1.49
O 0.4183 0.0870 0.3313  1 B 1.47
Pu 0.2500 0.7500 0.5000  8 O 2.21-2.25
Dy 0.0000 0.0000 0.0000  8 O 2.27-2.32


5.
Material: CeDyThTc
Method: DFT, PBE-GGA
State: relaxed

## Properties
E_tot	-6.904	eV per atom
spin magnetization	0.00	μB/cell
crystal system	monoclinic
V	27.68	A^3/atom
ΔE_f	0.177	eV per atom
DOS at the Fermi energy	5.31	states/eV/f.u.

abc: 4.4488 4.4488 6.9454
angles: 90.08 108.66 119.90
Last column: nearest neighbours and their distance in Å.
Atoms (fractional coordinates):
Dy 0.3765 0.0529 0.4293  3 Tc 3.09, 3 Ce 3.32
Th 0.9559 0.8427 0.7986  3 Ce 3.24, 3 Tc 3.49, 3 Dy 3.50
Tc 0.5338 0.6308 0.1646  3 Ce 2.59-2.60
Ce 0.8260 0.2781 0.1040  3 Tc 2.59-2.60


6.
Material: CaBe4Ir
Method: DFT, PBE-GGA
State: relaxed

## Properties
E_tot	-4.391	eV per atom
spin magnetization	0.00	μB/cell
crystal system	cubic
V	11.81	A^3/atom
ΔE_f	-0.096	eV per atom
DOS at the Fermi energy	4.18	states/eV/f.u.

abc: 4.6446 4.6446 4.6446
angles: 60.00 60.00 60.00
Last column: nearest neighbours and their distance in Å.
Atoms (fractional coordinates):
Be 0.1164 0.6278 0.6278  6 Be 2.27-2.38
Be 0.6278 0.6278 0.1164  6 Be 2.27-2.38
Be 0.6278 0.1164 0.6278  6 Be 2.27-2.38
Be 0.6278 0.6278 0.6278  6 Be 2.27-2.38
Ir 0.0000 0.0000 0.0000  12 Be 2.72, 4 Ca 2.84
Ca 0.2500 0.2500 0.2500  12 Be 2.73, 4 Ir 2.84